# 1
A relaxed structure of CaSn, computed with PBE-GGA.

abc: 4.3926 4.8094 6.2670
angles: 112.61 90.00 90.00
Positions (direct):
Sn  0.2500  0.9141  0.8291
Sn  0.7500  0.0859  0.1709
Ca  0.2500  0.6340  0.2674
Ca  0.7500  0.3660  0.7326

formation energy: -0.649 eV/atom



# 2
A relaxed structure of Ca2Sn, computed with PBE-GGA.

abc: 5.1226 7.7790 9.5871
angles: 90.00 90.00 90.00
Positions (direct):
Sn  0.7500  0.2533  0.3928
Sn  0.2500  0.7467  0.6072
Sn  0.7500  0.7533  0.1072
Sn  0.2500  0.2467  0.8928
Ca  0.2500  0.1639  0.5707
Ca  0.2500  0.6639  0.9293
Ca  0.2500  0.0216  0.1899
Ca  0.2500  0.5216  0.3101
Ca  0.7500  0.8361  0.4293
Ca  0.7500  0.9784  0.8101
Ca  0.7500  0.3361  0.0707
Ca  0.7500  0.4784  0.6899

formation energy: -0.653 eV/atom



# 3
A relaxed structure of Sr3Ca4Sn4, computed with PBE-GGA.

abc: 5.2106 8.4098 10.0697
angles: 114.68 104.99 90.00
Positions (direct):
Sn  0.7891  0.2891  0.5782
Sn  0.5000  0.1838  0.0000
Sn  0.2109  0.7109  0.4218
Sn  0.5000  0.8162  0.0000
Sr  0.8917  0.8917  0.7834
Sr  0.0000  0.5000  0.0000
Sr  0.1083  0.1083  0.2166
Ca  0.3261  0.1175  0.6521
Ca  0.6739  0.8825  0.3479
Ca  0.3261  0.5346  0.6521
Ca  0.6739  0.4654  0.3479

formation energy: -0.616 eV/atom



How do the records compare in density? In the order shown, they have 4.31, 3.46, 3.88 Mg/m³.
How do the records compare in VASP energy? In the order shown, they have -3.6515, -3.3215, -3.2580 eV per atom.